Density functional theory data (GGA-PBEsol) for Hf3AgCl after structural relaxation.

Lattice parameters (Å, degrees): 4.6474 4.6474 4.6474 90.00 90.00 90.00
With the nearest neighbours (Å) after each atom.
Space group Pm-3m (No. 221)
Inequivalent atoms, fractional coordinates:
1 Hf 0.0000 0.0000 0.5000  2 Cl 2.32
2 Ag 0.5000 0.5000 0.5000  12 Hf 3.29
3 Cl 0.0000 0.0000 0.0000  6 Hf 2.32

Results
Raw formation energy = 0.19 eV/atom